(1)
DFT (PBE) results for a relaxed Li4Ca3Ag2 crystal.

Output
As for the density: 2.7 g cm⁻³. The value obtained for the total moment is 0.0 μB/f.u. Its final energy is -20.6 eV for the cell shown. The value obtained for the formation energy is -141 meV per atom.

Cell: 4.917 6.051 8.850 Å, 70.23 74.00 66.30°
Space group P-1 (No. 2)
Symmetry-distinct sites (fractional):
Li 0.102 0.458 0.336 [2 per cell]
Li 0.304 0.362 0.030 [2 per cell]
Ca 0.000 0.000 0.000 [1 per cell]
Ca 0.390 0.857 0.363 [2 per cell]
Ag 0.279 0.703 0.743 [2 per cell]

***

(2)
DFT (PBE) results for a relaxed LiCoIr2 crystal.

Output
As for the density: 14.3 g cm⁻³. The value obtained for the total moment is 1.5 μB/f.u. Its final energy is -26.3 eV for the cell shown. The value obtained for the formation energy is 102 meV per atom. Its distance to the lowest polymorph of the same formula is 0.54 eV/f.u.

Cell: 2.745 2.745 6.928 Å, 90.00 90.00 90.00°
Space group P4mm (No. 99)
Symmetry-distinct sites (fractional):
Li 0.000 0.000 0.000 [1 per cell]
Co 0.500 0.500 0.236 [1 per cell]
Ir 0.000 0.000 0.475 [1 per cell]
Ir 0.500 0.500 0.745 [1 per cell]

***

- Look up the density of the first one.
  2.7 g cm⁻³

***

- Which of these has the highest total moment?
  LiCoIr2

***

- Among the records above, which one has the highest final energy?
  Li4Ca3Ag2